Entry 1:
# SrMn2VAs

An optimized crystal structure of SrMn2VAs (PBE, the Alexandria database).

Cell and atoms, written as CIF:
```
data_SrMn2VAs
_chemical_formula_sum 'Sr1 Mn2 V1 As1'
_symmetry_space_group_name_H-M 'P 1'
_symmetry_Int_Tables_number 1
_symmetry_space_group_name_Hall 'P 1'
_cell_length_a 4.284
_cell_length_b 5.642
_cell_length_c 4.284
_cell_angle_alpha 90.00
_cell_angle_beta 90.00
_cell_angle_gamma 90.00
loop_
_atom_site_label
_atom_site_fract_x
_atom_site_fract_y
_atom_site_fract_z
Sr1 0.000 0.500 0.000
As1 0.500 0.500 0.500
Mn1 0.000 0.000 0.500
Mn2 0.500 0.000 0.000
V1 0.000 0.000 0.000
```

***

Entry 2:
# La2MgNi4Ge3

An optimized crystal structure of La2MgNi4Ge3 (PBE, the Alexandria database).

Cell and atoms, written as CIF:
```
data_La2MgNi4Ge3
_chemical_formula_sum 'La2 Mg1 Ni4 Ge3'
_symmetry_space_group_name_H-M 'P 1'
_symmetry_Int_Tables_number 1
_symmetry_space_group_name_Hall 'P 1'
_cell_length_a 4.212
_cell_length_b 4.212
_cell_length_c 10.000
_cell_angle_alpha 90.00
_cell_angle_beta 90.00
_cell_angle_gamma 90.00
loop_
_atom_site_label
_atom_site_fract_x
_atom_site_fract_y
_atom_site_fract_z
La1 0.500 0.000 0.241
La2 0.000 0.500 0.759
Mg1 0.500 0.500 0.500
Ni1 0.500 0.500 0.000
Ni2 0.000 0.000 0.000
Ni3 0.500 0.000 0.639
Ni4 0.000 0.500 0.361
Ge1 0.000 0.000 0.500
Ge2 0.500 0.000 0.878
Ge3 0.000 0.500 0.122
```

***

Entry 3:
# CsMg2CdPd

An optimized crystal structure of CsMg2CdPd (PBE, the Alexandria database).

Cell and atoms, written as CIF:
```
data_CsMg2CdPd
_chemical_formula_sum 'Cs1 Mg2 Cd1 Pd1'
_symmetry_space_group_name_H-M 'P 1'
_symmetry_Int_Tables_number 1
_symmetry_space_group_name_Hall 'P 1'
_cell_length_a 5.255
_cell_length_b 5.255
_cell_length_c 5.497
_cell_angle_alpha 90.00
_cell_angle_beta 90.00
_cell_angle_gamma 90.00
loop_
_atom_site_label
_atom_site_fract_x
_atom_site_fract_y
_atom_site_fract_z
Cs1 0.500 0.500 0.500
Mg1 0.000 0.500 0.000
Mg2 0.500 0.000 0.000
Pd1 0.000 0.000 0.000
Cd1 0.000 0.000 0.500
```

***

Entry 4:
# Zr2UIn

An optimized crystal structure of Zr2UIn (PBE, the Alexandria database).

Cell and atoms, written as CIF:
```
data_Zr2UIn
_chemical_formula_sum 'Zr2 U1 In1'
_symmetry_space_group_name_H-M 'P 1'
_symmetry_Int_Tables_number 1
_symmetry_space_group_name_Hall 'P 1'
_cell_length_a 5.055
_cell_length_b 5.055
_cell_length_c 5.055
_cell_angle_alpha 60.00
_cell_angle_beta 60.00
_cell_angle_gamma 60.00
loop_
_atom_site_label
_atom_site_fract_x
_atom_site_fract_y
_atom_site_fract_z
U1 0.500 0.500 0.500
Zr1 0.250 0.250 0.250
Zr2 0.750 0.750 0.750
In1 0.000 0.000 0.000
```

***

| no. | formation enthalpy at 0 K (meV/atom) | DFT total energy (Ry/atom) |
| --- | --- | --- |
| 1 | 1146 | -0.412 |
| 2 | -615 | -0.401 |
| 3 | -163 | -0.161 |
| 4 | 149 | -0.561 |